[1]
Computed, not measured: crystalline U2ZnTc5 at its relaxed geometry at the PBE level of DFT.

Values from the calculation:
For the volume, the calculation gives 262.2 Å³ per cell. As for the energy of formation from the pure elements: -0.0855 eV/atom. As for the space group: Pbam, No. 55. As for the density of states at the Fermi level: 0.982 states/eV/atom.

Cell lengths 4.3255, 5.4957, 11.0284 Å; angles 90.00, 90.00, 90.00 degrees
Fractional positions:
Zn 0.0000 0.5000 0.0000
Zn 0.0000 0.0000 0.5000
U 0.5000 0.3179 0.3657
U 0.5000 0.1821 0.8657
U 0.5000 0.8179 0.1343
U 0.5000 0.6821 0.6343
Tc 0.0000 0.9041 0.7447
Tc 0.0000 0.0959 0.2553
Tc 0.5000 0.3062 0.1187
Tc 0.0000 0.4041 0.7553
Tc 0.5000 0.1938 0.6187
Tc 0.5000 0.6938 0.8813
Tc 0.0000 0.5959 0.2447
Tc 0.5000 0.8062 0.3813
Tc 0.0000 0.0000 0.0000
Tc 0.0000 0.5000 0.5000

=====

[2]
Computed, not measured: crystalline YRuBr at its relaxed geometry at the PBE level of DFT.

Values from the calculation:
For the formation energy (no corrections), the calculation gives -122 meV per atom. For the volume, the calculation gives 71.1 Å³ per cell. As for the space group: P3m1, No. 156. As for the density of states at the Fermi level: 1.484 states/eV/atom.

Cell lengths 3.5001, 3.5001, 6.6983 Å; angles 90.00, 90.00, 120.00 degrees
Fractional positions:
Y 0.6667 0.3333 0.6565
Ru 0.3333 0.6667 0.3684
Br 0.0000 0.0000 0.9751

=====

[3]
Computed, not measured: crystalline K2LaSiI at its relaxed geometry at the PBE level of DFT.

Values from the calculation:
For the formation energy (no corrections), the calculation gives 436 meV per atom. For the volume, the calculation gives 227.2 Å³ per cell. As for the space group: P4/mmm, No. 123. As for the density of states at the Fermi level: 0.430 states/eV/atom.

Cell lengths 6.0655, 6.1759, 6.0655 Å; angles 90.00, 90.00, 90.00 degrees
Fractional positions:
Si 0.0000 0.5000 0.0000
La 0.5000 0.5000 0.5000
K 0.0000 0.0000 0.5000
K 0.5000 0.0000 0.0000
I 0.0000 0.0000 0.0000

=====

[4]
Computed, not measured: crystalline LaPm4Dy2Ho at its relaxed geometry at the PBE level of DFT.

Values from the calculation:
For the volume, the calculation gives 268.3 Å³ per cell. As for the energy of formation from the pure elements: 0.0188 eV/atom. As for the space group: P2/m, No. 10. As for the density of states at the Fermi level: 1.466 states/eV/atom.

Cell lengths 3.6336, 12.0063, 6.2491 Å; angles 79.82, 90.00, 90.00 degrees
Fractional positions:
Pm 0.0000 0.7540 0.7486
Pm 0.0000 0.2460 0.2514
Pm 0.5000 0.7517 0.2501
Pm 0.5000 0.2483 0.7499
Dy 0.5000 0.0000 0.5000
Dy 0.0000 0.0000 0.0000
La 0.5000 0.5000 0.0000
Ho 0.0000 0.5000 0.5000

=====

[5]
Computed, not measured: crystalline KScBi2 at its relaxed geometry at the PBE level of DFT.

Values from the calculation:
For the volume, the calculation gives 145.1 Å³ per cell. As for the energy of formation from the pure elements: -0.3248 eV/atom. As for the space group: R-3m, No. 166. As for the density of states at the Fermi level: 0.847 states/eV/atom.

Cell lengths 4.6666, 4.6666, 8.1513 Å; angles 73.37, 73.37, 60.00 degrees
Fractional positions:
Bi 0.7254 0.7254 0.8238
Bi 0.2746 0.2746 0.1762
K 0.5000 0.5000 0.5000
Sc 0.0000 0.0000 0.0000

=====

[6]
Computed, not measured: crystalline ZnTc2Hg at its relaxed geometry at the PBE level of DFT.

Values from the calculation:
For the volume, the calculation gives 63.2 Å³ per cell. As for the energy of formation from the pure elements: 0.6390 eV/atom. As for the space group: Fm-3m, No. 225. As for the density of states at the Fermi level: 1.026 states/eV/atom.

Cell lengths 4.4719, 4.4719, 4.4719 Å; angles 60.00, 60.00, 60.00 degrees
Fractional positions:
Zn 0.0000 0.0000 0.0000
Tc 0.2500 0.2500 0.2500
Tc 0.7500 0.7500 0.7500
Hg 0.5000 0.5000 0.5000

=====

[7]
Computed, not measured: crystalline Pu4GaGe2Pt at its relaxed geometry at the PBE level of DFT.

Values from the calculation:
For the volume, the calculation gives 181.9 Å³ per cell. As for the energy of formation from the pure elements: -0.3964 eV/atom. As for the space group: R-3m, No. 166. As for the density of states at the Fermi level: 4.297 states/eV/atom.

Cell lengths 5.0645, 5.0645, 8.6954 Å; angles 73.07, 73.07, 60.00 degrees
Site moments in Bohr magnetons follow the coordinates.
Fractional positions:
Pu 0.6204 0.6204 0.1389  5.30
Pu 0.1302 0.1302 0.6094  -5.28
Pu 0.8698 0.8698 0.3906  -5.28
Pu 0.3796 0.3796 0.8611  5.30
Ge 0.7454 0.7454 0.7639  0.03
Ge 0.2546 0.2546 0.2361  0.03
Pt 0.5000 0.5000 0.5000  0.02
Ga 0.0000 0.0000 0.0000  0.03

=====

[8]
Computed, not measured: crystalline Nd5Th2Se12 at its relaxed geometry at the PBE level of DFT.

Values from the calculation:
For the formation energy (no corrections), the calculation gives -1671 meV per atom. For the volume, the calculation gives 596.3 Å³ per cell. As for the space group: C2/m, No. 12. As for the density of states at the Fermi level: 0.775 states/eV/atom.

Cell lengths 8.0240, 9.0857, 9.5988 Å; angles 106.30, 90.00, 116.20 degrees
Fractional positions:
Nd 0.3128 0.6257 0.1755
Nd 0.7085 0.4170 0.3689
Nd 0.2915 0.5830 0.6311
Nd 0.0000 0.0000 0.5000
Nd 0.6872 0.3743 0.8245
Se 0.9776 0.9553 0.1925
Se 0.0224 0.0447 0.8075
Se 0.4611 0.3677 0.1021
Se 0.5988 0.7068 0.4391
Se 0.5028 0.0056 0.2241
Se 0.1079 0.7068 0.4391
Se 0.0934 0.6323 0.8979
Se 0.8921 0.2932 0.5609
Se 0.4012 0.2932 0.5609
Se 0.4972 0.9944 0.7759
Se 0.9066 0.3677 0.1021
Se 0.5389 0.6323 0.8979
Th 0.2516 0.0000 0.0000
Th 0.7484 0.0000 0.0000

=====

[9]
Computed, not measured: crystalline Dy17Y2 at its relaxed geometry at the PBE level of DFT.

Values from the calculation:
For the volume, the calculation gives 629.0 Å³ per cell. As for the energy of formation from the pure elements: 0.2796 eV/atom. As for the space group: R-3m, No. 166. As for the density of states at the Fermi level: 1.742 states/eV/atom.

Cell lengths 8.7033, 8.7033, 8.7033 Å; angles 79.36, 79.36, 79.36 degrees
Fractional positions:
Dy 0.6280 0.6280 0.1492
Dy 0.1492 0.6280 0.6280
Dy 0.6280 0.1492 0.6280
Dy 0.9048 0.9048 0.9048
Dy 0.7012 0.2988 0.0000
Dy 0.5000 0.0000 0.0000
Dy 0.0000 0.2988 0.7012
Dy 0.7012 0.0000 0.2988
Dy 0.0952 0.0952 0.0952
Dy 0.0000 0.5000 0.0000
Dy 0.0000 0.7012 0.2988
Dy 0.3720 0.3720 0.8508
Dy 0.2988 0.7012 0.0000
Dy 0.2988 0.0000 0.7012
Dy 0.8508 0.3720 0.3720
Dy 0.0000 0.0000 0.5000
Dy 0.3720 0.8508 0.3720
Y 0.3220 0.3220 0.3220
Y 0.6780 0.6780 0.6780